(1)
# NaTiTe3

NaTiTe3 after structural relaxation (GGA-PBE, the Alexandria database).

The structure in CIF format:
```
data_NaTiTe3
_chemical_formula_sum 'Na2 Ti2 Te6'
_space_group_name_H-M_alt 'P 1 21/m 1'
_space_group_IT_number 11
_cell_length_a 5.3758
_cell_length_b 7.5528
_cell_length_c 8.0700
_cell_angle_alpha 90.00
_cell_angle_beta 109.35
_cell_angle_gamma 90.00
loop_
_space_group_symop_operation_xyz
'x,y,z'
'-x,-y,-z'
'-x,y+1/2,-z'
'x,-y+1/2,z'
loop_
_atom_site_label
_atom_site_type_symbol
_atom_site_fract_x
_atom_site_fract_y
_atom_site_fract_z
Na1 Na 0.1869 0.2500 0.3749
Ti1 Ti 0.4893 0.7500 0.9784
Te1 Te 0.0227 0.7500 0.0458
Te2 Te 0.3660 0.0017 0.7314
```

N(E_F) = 0.4880 states/eV/atom
Uncorrected energy = -0.315 Ry per atom
ΔE_f (raw) = -2.78 eV per formula unit
E above lowest polymorph = 0 meV/atom

(2)
# CePr2HoTe5

CePr2HoTe5 after structural relaxation (GGA-PBE, the Alexandria database).

The structure in CIF format:
```
data_CePr2HoTe5
_chemical_formula_sum 'Ce1 Pr2 Ho1 Te5'
_space_group_name_H-M_alt 'P 4/m m m'
_space_group_IT_number 123
_space_group_name_Hall '-P 4 2'
_cell_length_a 5.5306
_cell_length_b 5.5306
_cell_length_c 11.8867
_cell_angle_alpha 90.00
_cell_angle_beta 90.00
_cell_angle_gamma 90.00
loop_
_atom_site_label
_atom_site_type_symbol
_atom_site_fract_x
_atom_site_fract_y
_atom_site_fract_z
Ce1 Ce 0.0000 0.0000 0.0000
Pr1 Pr 0.5000 0.5000 0.3400
Ho1 Ho 0.0000 0.0000 0.5000
Te1 Te 0.0000 0.0000 0.2521
Te2 Te 0.0000 0.5000 0.5000
Te3 Te 0.5000 0.5000 0.0000
```

N(E_F) = 1.3649 states/eV/atom
Uncorrected energy = -0.356 Ry per atom
ΔE_f (raw) = -7.77 eV per formula unit

(3)
# Cs2RbSb2

Cs2RbSb2 after structural relaxation (GGA-PBE, the Alexandria database).

The structure in CIF format:
```
data_Cs2RbSb2
_chemical_formula_sum 'Cs4 Rb2 Sb4'
_space_group_name_H-M_alt 'I 4/m m m'
_space_group_IT_number 139
_space_group_name_Hall '-I 4 2'
_cell_length_a 6.4263
_cell_length_b 6.4263
_cell_length_c 13.7117
_cell_angle_alpha 90.00
_cell_angle_beta 90.00
_cell_angle_gamma 90.00
loop_
_atom_site_label
_atom_site_type_symbol
_atom_site_fract_x
_atom_site_fract_y
_atom_site_fract_z
Cs1 Cs 0.0000 0.0000 0.1319
Rb1 Rb 0.0000 0.0000 0.5000
Sb1 Sb 0.0000 0.5000 0.2500
```

N(E_F) = 0.9812 states/eV/atom
Uncorrected energy = -0.155 Ry per atom
ΔE_f (raw) = 0.36 eV per formula unit
E above lowest polymorph = 420 meV/atom

(4)
# Mn2AlCr

Mn2AlCr after structural relaxation (GGA-PBE, the Alexandria database).

The structure in CIF format:
```
data_Mn2AlCr
_chemical_formula_sum 'Mn6 Al3 Cr3'
_space_group_name_H-M_alt 'R 3 m'
_space_group_IT_number 160
_space_group_name_Hall 'R 3 -2"'
_cell_length_a 2.5728
_cell_length_b 2.5728
_cell_length_c 24.9250
_cell_angle_alpha 90.00
_cell_angle_beta 90.00
_cell_angle_gamma 120.00
loop_
_atom_site_label
_atom_site_type_symbol
_atom_site_fract_x
_atom_site_fract_y
_atom_site_fract_z
Mn1 Mn 0.0000 0.0000 0.0000
Mn2 Mn 0.0000 0.0000 0.2570
Al1 Al 0.0000 0.0000 0.5046
Cr1 Cr 0.0000 0.0000 0.7497
```

DFT formation energy = 0.107 eV/atom
N(E_F) = 0.7984 states/eV/atom
Uncorrected energy = -0.575 Ry per atom